Below is a relaxed structure of OsPd3Au, with properties calculated at the PBE level.

Values from the calculation:
D(E_F), states/eV per cell: 8.11
Polymorph energy (0 for the lowest one), meV/atom: 0
E_form, eV per atom: 1.312
Electronic total energy, hartree per atom: -0.1729

abc: 4.792 4.792 4.792
angles: 90.00 90.00 90.00
Space group Pm-3m (No. 221)
Asymmetric unit:
Os (0.000, 0.000, 0.000) x1
Pd (0.000, 0.000, 0.500) x3
Au (0.500, 0.500, 0.500) x1